Material: AlCoMoO2
Method: DFT, PBE with a Hubbard U
State: optimized geometry

Properties
Electronic total energy in eV/cell: -25.34

The structure in CIF format:
```
data_AlCoMoO2
_symmetry_space_group_name_H-M 'P 4/m m m'
_symmetry_Int_Tables_number 123
_symmetry_space_group_name_Hall '-P 4 2'
_cell_length_a 3.6148
_cell_length_b 3.6148
_cell_length_c 5.4677
_cell_angle_alpha 90.00
_cell_angle_beta 90.00
_cell_angle_gamma 90.00
loop_
_atom_site_label
_atom_site_type_symbol
_atom_site_fract_x
_atom_site_fract_y
_atom_site_fract_z
_atom_site_occupancy
Al1 Al 0.0000 0.0000 0.0000 1
Co1 Co 0.5000 0.5000 0.5000 1
Mo1 Mo 0.0000 0.0000 0.5000 1
O1 O 0.0000 0.5000 0.0000 1
```